(1)
Here is SnGeF4 after structural relaxation from Alexandria via LeMat-Bulk. Energies are from PBE.

Calculated values
- Energy relative to the elements, uncorrected: -2.1706 eV/atom
- V: 461.2 Å³ per cell
- ΔE to the lowest computed polymorph: 0.000 eV/atom

POSCAR file:
```
SnGeF4
1.0
4.954 0.000 0.000
0.000 13.880 0.000
-1.919 0.000 6.706
Sn Ge F
4 4 16
Direct
0.175 0.078 0.363 Sn
0.175 0.422 0.863 Sn
0.825 0.578 0.137 Sn
0.825 0.922 0.637 Sn
0.366 0.695 0.654 Ge
0.366 0.805 0.154 Ge
0.634 0.195 0.846 Ge
0.634 0.305 0.346 Ge
0.159 0.580 0.998 F
0.159 0.920 0.498 F
0.256 0.616 0.425 F
0.256 0.884 0.925 F
0.317 0.248 0.921 F
0.317 0.252 0.421 F
0.403 0.092 0.700 F
0.403 0.408 0.200 F
0.597 0.592 0.800 F
0.597 0.908 0.300 F
0.683 0.748 0.579 F
0.683 0.752 0.079 F
0.744 0.116 0.075 F
0.744 0.384 0.575 F
0.841 0.080 0.502 F
0.841 0.420 0.002 F
```

(2)
Here is Na2Sb2Ir after structural relaxation from Alexandria via LeMat-Bulk. Energies are from PBE.

Calculated values
- Energy relative to the elements, uncorrected: -0.2883 eV/atom
- V: 245.4 Å³ per cell

POSCAR file:
```
Na2Sb2Ir
1.0
6.840 0.000 0.000
0.000 6.840 0.000
0.000 0.000 5.246
Na Sb Ir
4 4 2
Direct
0.177 0.323 0.000 Na
0.323 0.823 0.000 Na
0.677 0.177 0.000 Na
0.823 0.677 0.000 Na
0.147 0.647 0.500 Sb
0.353 0.147 0.500 Sb
0.647 0.853 0.500 Sb
0.853 0.353 0.500 Sb
0.000 0.000 0.500 Ir
0.500 0.500 0.500 Ir
```

(3)
Here is ErOsN after structural relaxation from Alexandria via LeMat-Bulk. Energies are from PBE.

Calculated values
- Energy relative to the elements, uncorrected: -0.3959 eV/atom
- V: 177.5 Å³ per cell

POSCAR file:
```
ErOsN
1.0
5.694 0.000 0.000
0.000 2.891 0.000
0.000 0.000 10.781
Er Os N
4 4 4
Direct
0.148 0.250 0.158 Er
0.352 0.750 0.658 Er
0.648 0.250 0.342 Er
0.852 0.750 0.842 Er
0.159 0.250 0.435 Os
0.341 0.750 0.935 Os
0.659 0.250 0.065 Os
0.841 0.750 0.565 Os
0.188 0.250 0.818 N
0.312 0.750 0.318 N
0.688 0.250 0.682 N
0.812 0.750 0.182 N
```

(4)
Here is Dy2NiRu3 after structural relaxation from Alexandria via LeMat-Bulk. Energies are from PBE.

Calculated values
- V: 103.8 Å³ per cell
- ΔH_f (0 K): -0.36 eV per atom

POSCAR file:
```
Dy2NiRu3
1.0
2.627 1.517 4.345
-2.627 1.517 4.345
0.000 -3.033 4.345
Dy Ni Ru
2 1 3
Direct
0.123 0.123 0.123 Dy
0.877 0.877 0.877 Dy
0.500 0.500 0.500 Ni
0.000 0.500 0.500 Ru
0.500 0.000 0.500 Ru
0.500 0.500 0.000 Ru
```

(5)
Here is K2LaW after structural relaxation from Alexandria via LeMat-Bulk. Energies are from PBE.

Calculated values
- V: 123.0 Å³ per cell
- ΔH_f (0 K): 1.27 eV per atom
- ΔE to the lowest computed polymorph: 0.368 eV/atom

POSCAR file:
```
K2LaW
1.0
3.173 -6.894 0.000
3.173 6.894 0.000
-1.536 0.000 2.810
K La W
2 1 1
Direct
0.000 0.500 0.000 K
0.500 0.000 0.000 K
0.000 0.000 0.500 La
0.500 0.500 0.500 W
```

(6)
Here is Ac4PbSe7 after structural relaxation from Alexandria via LeMat-Bulk. Energies are from PBE.

Calculated values
- Energy relative to the elements, uncorrected: -1.7543 eV/atom
- V: 398.1 Å³ per cell

POSCAR file:
```
Ac4PbSe7
1.0
7.308 -2.188 0.000
7.308 2.188 0.000
-3.457 0.000 12.448
Ac Pb Se
4 1 7
Direct
0.000 0.000 0.000 Ac
0.206 0.206 0.778 Ac
0.593 0.593 0.382 Ac
0.898 0.898 0.567 Ac
0.770 0.770 0.145 Pb
0.147 0.147 0.222 Se
0.239 0.239 0.526 Se
0.363 0.363 0.035 Se
0.558 0.558 0.624 Se
0.622 0.622 0.922 Se
0.852 0.852 0.782 Se
0.939 0.939 0.349 Se
```

(7)
Here is Ta3BiF after structural relaxation from Alexandria via LeMat-Bulk. Energies are from PBE.

Calculated values
- Energy relative to the elements, uncorrected: 2.4352 eV/atom
- V: 142.4 Å³ per cell
- ΔE to the lowest computed polymorph: 2.087 eV/atom

POSCAR file:
```
Ta3BiF
1.0
5.222 0.000 0.000
0.000 5.222 0.000
0.000 0.000 5.222
Ta Bi F
3 1 1
Direct
0.000 0.000 0.500 Ta
0.000 0.500 0.000 Ta
0.500 0.000 0.000 Ta
0.000 0.000 0.000 Bi
0.500 0.500 0.500 F
```

(8)
Here is Ce2SbRu2 after structural relaxation from Alexandria via LeMat-Bulk. Energies are from PBE.

Calculated values
- Energy relative to the elements, uncorrected: -0.5558 eV/atom
- V: 107.2 Å³ per cell
- ΔE to the lowest computed polymorph: 0.000 eV/atom

POSCAR file:
```
Ce2SbRu2
1.0
-2.315 2.934 3.945
2.315 -2.934 3.945
2.315 2.934 -3.945
Ce Sb Ru
2 1 2
Direct
0.203 0.203 0.000 Ce
0.797 0.797 0.000 Ce
0.500 0.000 0.500 Sb
0.243 0.500 0.743 Ru
0.757 0.500 0.257 Ru
```

(9)
Here is Pa2Zn16In after structural relaxation from Alexandria via LeMat-Bulk. Energies are from PBE.

Calculated values
- V: 315.1 Å³ per cell
- ΔH_f (0 K): -0.10 eV per atom

POSCAR file:
```
Pa2Zn16In
1.0
4.542 2.622 4.409
-4.542 2.622 4.409
0.000 -5.245 4.409
Pa Zn In
2 16 1
Direct
0.000 0.000 0.000 Pa
0.320 0.320 0.320 Pa
0.014 0.014 0.498 Zn
0.014 0.498 0.014 Zn
0.150 0.668 0.668 Zn
0.305 0.305 0.830 Zn
0.305 0.830 0.305 Zn
0.358 0.662 0.967 Zn
0.358 0.967 0.662 Zn
0.498 0.014 0.014 Zn
0.662 0.358 0.967 Zn
0.662 0.967 0.358 Zn
0.668 0.150 0.668 Zn
0.668 0.668 0.150 Zn
0.769 0.769 0.769 Zn
0.830 0.305 0.305 Zn
0.967 0.358 0.662 Zn
0.967 0.662 0.358 Zn
0.563 0.563 0.563 In
```

(10)
Here is Ca2HgSb4 after structural relaxation from Alexandria via LeMat-Bulk. Energies are from PBE.

Calculated values
- Energy relative to the elements, uncorrected: -0.4569 eV/atom
- V: 205.4 Å³ per cell

POSCAR file:
```
Ca2HgSb4
1.0
4.621 -4.646 0.000
4.621 4.646 0.000
-4.534 0.000 4.784
Ca Hg Sb
2 1 4
Direct
0.000 0.500 0.000 Ca
0.500 0.000 0.000 Ca
0.000 0.000 0.000 Hg
0.000 0.000 0.500 Sb
0.000 0.500 0.500 Sb
0.500 0.000 0.500 Sb
0.500 0.500 0.500 Sb
```

(11)
Here is Ca2TcRh after structural relaxation from Alexandria via LeMat-Bulk. Energies are from PBE.

Calculated values
- V: 84.8 Å³ per cell
- ΔH_f (0 K): 0.45 eV per atom
- ΔE to the lowest computed polymorph: 0.307 eV/atom

POSCAR file:
```
Ca2TcRh
1.0
0.000 3.487 3.487
3.487 0.000 3.487
3.487 3.487 0.000
Ca Tc Rh
2 1 1
Direct
0.250 0.250 0.250 Ca
0.750 0.750 0.750 Ca
0.000 0.000 0.000 Tc
0.500 0.500 0.500 Rh
```

(12)
Here is AlFe2Br after structural relaxation from Alexandria via LeMat-Bulk. Energies are from PBE.

Calculated values
- Energy relative to the elements, uncorrected: 0.5474 eV/atom
- V: 61.9 Å³ per cell
- ΔE to the lowest computed polymorph: 0.429 eV/atom

POSCAR file:
```
AlFe2Br
1.0
2.734 -3.869 0.000
2.734 3.869 0.000
0.000 0.000 2.927
Al Fe Br
1 2 1
Direct
0.000 0.000 0.000 Al
0.000 0.500 0.500 Fe
0.500 0.000 0.500 Fe
0.500 0.500 0.000 Br
```